The following is a PBE calculation of crystalline Na2ZnC at its relaxed geometry, from the Alexandria database.

Unit cell a=7.4778 b=7.4778 c=7.4778 alpha=93.62 beta=93.62 gamma=150.91
Fractional positions:
Na (0.0000, 0.0000, 0.0000)
Na (0.0000, 0.0000, 0.5000)
Na (0.0000, 0.5000, 0.0000)
Na (0.5000, 0.0000, 0.5000)
Zn (0.3750, 0.6250, 0.7500)
Zn (0.6250, 0.3750, 0.2500)
C (0.1250, 0.8750, 0.2500)
C (0.8750, 0.1250, 0.7500)

Electronic total energy (eV/atom): -2.7801